No. 1
Below is crystalline Be2PN3 at its relaxed geometry, with properties calculated at the PBE level.

The density of states at the Fermi level comes out at 0.00 states/eV per cell. The uncorrected formation energy is -1013 meV/atom. Its total magnetic moment is 0.0 Bohr magnetons per cell.

Structure (CIF):
```
data_Be2PN3
_chemical_formula_sum 'Be8 P4 N12'
_cell_length_a 8.464
_cell_length_b 4.894
_cell_length_c 4.587
_cell_angle_alpha 90.00
_cell_angle_beta 90.00
_cell_angle_gamma 90.00
_symmetry_space_group_name_H-M 'C m c 21'
_symmetry_Int_Tables_number 36
loop_
_symmetry_equiv_pos_as_xyz
'x,y,z'
'-x,-y,z+1/2'
'-x,y,z'
'x,-y,z+1/2'
'x+1/2,y+1/2,z'
'-x+1/2,-y+1/2,z+1/2'
'-x+1/2,y+1/2,z'
'x+1/2,-y+1/2,z+1/2'
loop_
_atom_site_label
_atom_site_type_symbol
_atom_site_fract_x
_atom_site_fract_y
_atom_site_fract_z
Be1 Be 0.171 0.162 0.000
P1 P 0.000 0.323 0.484
N1 N 0.000 0.350 0.856
N2 N 0.160 0.173 0.379
```


No. 2
Below is crystalline BeP2N4 at its relaxed geometry, with properties calculated at the PBE level.

The density of states at the Fermi level comes out at 0.00 states/eV per cell. The uncorrected formation energy is -467 meV/atom. Its total magnetic moment is 0.0 Bohr magnetons per cell. The energy above the most stable polymorph in this dataset is 231.4 meV/atom.

Structure (CIF):
```
data_BeP2N4
_chemical_formula_sum 'Be1 P2 N4'
_cell_length_a 3.887
_cell_length_b 3.887
_cell_length_c 4.133
_cell_angle_alpha 90.00
_cell_angle_beta 90.00
_cell_angle_gamma 90.00
_symmetry_space_group_name_H-M 'P -4 2 m'
_symmetry_Int_Tables_number 111
loop_
_symmetry_equiv_pos_as_xyz
'x,y,z'
'y,-x,-z'
'-x,-y,z'
'-y,x,-z'
'x,-y,-z'
'y,x,z'
'-x,y,-z'
'-y,-x,z'
loop_
_atom_site_label
_atom_site_type_symbol
_atom_site_fract_x
_atom_site_fract_y
_atom_site_fract_z
Be1 Be 0.000 0.000 0.000
P1 P 0.000 0.500 0.500
N1 N 0.246 0.246 0.272
```


No. 3
Below is crystalline Be3PN4 at its relaxed geometry, with properties calculated at the PBE level.

The density of states at the Fermi level comes out at 10.49 states/eV per cell. The uncorrected formation energy is -831 meV/atom. Its total magnetic moment is 0.0 Bohr magnetons per cell.

Structure (CIF):
```
data_Be3PN4
_chemical_formula_sum 'Be6 P2 N8'
_cell_length_a 3.938
_cell_length_b 3.938
_cell_length_c 8.078
_cell_angle_alpha 90.00
_cell_angle_beta 90.00
_cell_angle_gamma 90.00
_symmetry_space_group_name_H-M 'I -4 2 m'
_symmetry_Int_Tables_number 121
_symmetry_space_group_name_Hall 'I -4 2'
loop_
_atom_site_label
_atom_site_type_symbol
_atom_site_fract_x
_atom_site_fract_y
_atom_site_fract_z
Be1 Be 0.000 0.000 0.000
Be2 Be 0.000 0.500 0.250
P1 P 0.000 0.000 0.500
N1 N 0.241 0.241 0.621
```


No. 4
Below is crystalline BePN2 at its relaxed geometry, with properties calculated at the PBE level.

The density of states at the Fermi level comes out at 5.07 states/eV per cell. The uncorrected formation energy is -235 meV/atom. Its total magnetic moment is 0.0 Bohr magnetons per cell. The energy above the most stable polymorph in this dataset is 0.0 meV/atom.

Structure (CIF):
```
data_BePN2
_chemical_formula_sum 'Be4 P4 N8'
_cell_length_a 4.043
_cell_length_b 4.043
_cell_length_c 7.981
_cell_angle_alpha 90.00
_cell_angle_beta 90.00
_cell_angle_gamma 90.00
_symmetry_space_group_name_H-M 'I -4 2 d'
_symmetry_Int_Tables_number 122
_symmetry_space_group_name_Hall 'I -4 2bw'
loop_
_atom_site_label
_atom_site_type_symbol
_atom_site_fract_x
_atom_site_fract_y
_atom_site_fract_z
Be1 Be 0.000 0.000 0.000
P1 P 0.000 0.000 0.500
N1 N 0.242 0.250 0.625
```


No. 5
Below is crystalline BeP2N2 at its relaxed geometry, with properties calculated at the PBE level.

The density of states at the Fermi level comes out at 3.87 states/eV per cell. The uncorrected formation energy is 948 meV/atom. Its total magnetic moment is 0.0 Bohr magnetons per cell. The energy above the most stable polymorph in this dataset is 486.9 meV/atom.

Structure (CIF):
```
data_BeP2N2
_chemical_formula_sum 'Be2 P4 N4'
_cell_length_a 2.989
_cell_length_b 2.989
_cell_length_c 17.568
_cell_angle_alpha 90.00
_cell_angle_beta 90.00
_cell_angle_gamma 90.00
_symmetry_space_group_name_H-M 'I 4/m m m'
_symmetry_Int_Tables_number 139
_symmetry_space_group_name_Hall '-I 4 2'
loop_
_atom_site_label
_atom_site_type_symbol
_atom_site_fract_x
_atom_site_fract_y
_atom_site_fract_z
Be1 Be 0.000 0.000 0.000
P1 P 0.000 0.500 0.250
N1 N 0.000 0.000 0.463
```


No. 6
Below is crystalline BePN2 at its relaxed geometry, with properties calculated at the PBE level.

The density of states at the Fermi level comes out at 5.88 states/eV per cell. The uncorrected formation energy is 1395 meV/atom. Its total magnetic moment is 0.0 Bohr magnetons per cell. The energy above the most stable polymorph in this dataset is 1630.9 meV/atom.

Structure (CIF):
```
data_BePN2
_chemical_formula_sum 'Be4 P4 N8'
_cell_length_a 5.030
_cell_length_b 5.030
_cell_length_c 5.030
_cell_angle_alpha 90.00
_cell_angle_beta 90.00
_cell_angle_gamma 90.00
_symmetry_space_group_name_H-M 'F m -3 m'
_symmetry_Int_Tables_number 225
_symmetry_space_group_name_Hall '-F 4 2 3'
loop_
_atom_site_label
_atom_site_type_symbol
_atom_site_fract_x
_atom_site_fract_y
_atom_site_fract_z
Be1 Be 0.000 0.000 0.000
P1 P 0.000 0.000 0.500
N1 N 0.250 0.250 0.250
```